<a>
VASP calculation (PBE) on a relaxed structure of MgTePtN2.

The space group is P4/mmm (No. 123) and the conventional cell measures 3.984, 3.984 and 6.291 Å, with angles of 90.00, 90.00 and 90.00 degrees. The inequivalent atoms are Mg at (0.000, 0.000, 0.000), Te at (0.000, 0.000, 0.500), Pt at (0.500, 0.500, 0.500) and N at (0.000, 0.500, 0.000).

As for the density of states at the Fermi level: 0.939 states/eV/atom. The calculation puts the total magnetization at 0.761 μB/atom.


<b>
VASP calculation (PBE) on a relaxed structure of MgTePtN2.

The space group is P4/mmm (No. 123) and the conventional cell measures 3.827, 3.827 and 8.505 Å, with angles of 90.00, 90.00 and 90.00 degrees. The inequivalent atoms are Mg at (0.000, 0.000, 0.000), Te at (0.500, 0.500, 0.000), Pt at (0.500, 0.500, 0.500) and N at (0.000, 0.500, 0.500).

As for the density of states at the Fermi level: 0.641 states/eV/atom. The calculation puts the total magnetization at 0.000 μB/atom.


Stability summary - winner: <b>; margin: 529 meV per atom.


<a>
VASP calculation (PBE) on a relaxed structure of Pu2MgN.

The space group is R-3m (No. 166, hexagonal axes) and the conventional cell measures 3.3062, 3.3062 and 28.8107 Å, with angles of 90.00, 90.00 and 120.00 degrees. The inequivalent atoms are Pu at (0.0000, 0.0000, 0.1162), Mg at (0.0000, 0.0000, 0.0000) and N at (0.0000, 0.0000, 0.5000).

As for the density of states at the Fermi level: 3.322 states/eV/atom. The calculation puts the total magnetization at 2.849 μB/atom.


<b>
VASP calculation (PBE) on a relaxed structure of Pu2MgN.

The space group is R3m (No. 160, hexagonal axes) and the conventional cell measures 3.3232, 3.3232 and 27.0110 Å, with angles of 90.00, 90.00 and 120.00 degrees. The inequivalent atoms are Pu at (0.0000, 0.0000, 0.0000), Pu at (0.0000, 0.0000, 0.2269), Mg at (0.0000, 0.0000, 0.4474) and N at (0.0000, 0.0000, 0.6135).

As for the density of states at the Fermi level: 2.888 states/eV/atom. The calculation puts the total magnetization at 0.007 μB/atom.


Stability summary - winner: <b>; margin: 100 meV per atom.


<a>
VASP calculation (PBE) on a relaxed structure of RbMgSN2.

The space group is P4/mmm (No. 123) and the conventional cell measures 4.567, 4.567 and 5.020 Å, with angles of 90.00, 90.00 and 90.00 degrees. The inequivalent atoms are Rb at (0.000, 0.000, 0.000), Mg at (0.500, 0.500, 0.500), S at (0.500, 0.500, 0.000) and N at (0.000, 0.500, 0.500).

As for the density of states at the Fermi level: 0.301 states/eV/atom. The calculation puts the total magnetization at 1.004 μB/atom.


<b>
VASP calculation (PBE) on a relaxed structure of RbMgSN2.

The space group is P4/mmm (No. 123) and the conventional cell measures 4.432, 4.432 and 6.339 Å, with angles of 90.00, 90.00 and 90.00 degrees. The inequivalent atoms are Rb at (0.000, 0.000, 0.000), Mg at (0.500, 0.500, 0.500), S at (0.000, 0.000, 0.500) and N at (0.000, 0.500, 0.000).

As for the density of states at the Fermi level: 0.493 states/eV/atom. The calculation puts the total magnetization at 0.658 μB/atom.


Stability summary - winner: <a>; margin: 1248 meV per atom.


<a>
VASP calculation (PBE) on a relaxed structure of RbMgTeN2.

The space group is P4/mmm (No. 123) and the conventional cell measures 5.013, 5.013 and 7.390 Å, with angles of 90.00, 90.00 and 90.00 degrees. The inequivalent atoms are Rb at (0.000, 0.000, 0.000), Mg at (0.500, 0.500, 0.500), Te at (0.000, 0.000, 0.500) and N at (0.000, 0.500, 0.000).

As for the density of states at the Fermi level: 0.648 states/eV/atom. The calculation puts the total magnetization at 1.041 μB/atom.


<b>
VASP calculation (PBE) on a relaxed structure of RbMgTeN2.

The space group is P4/mmm (No. 123) and the conventional cell measures 4.751, 4.751 and 5.697 Å, with angles of 90.00, 90.00 and 90.00 degrees. The inequivalent atoms are Rb at (0.000, 0.000, 0.000), Mg at (0.500, 0.500, 0.500), Te at (0.500, 0.500, 0.000) and N at (0.000, 0.500, 0.500).

As for the density of states at the Fermi level: 0.392 states/eV/atom. The calculation puts the total magnetization at 1.000 μB/atom.


Stability summary - winner: <b>; margin: 860 meV per atom.


<a>
VASP calculation (PBE) on a relaxed structure of Mg3ReN.

The space group is Pm-3m (No. 221) and the conventional cell measures 5.168, 5.168 and 5.168 Å, with angles of 90.00, 90.00 and 90.00 degrees. The inequivalent atoms are Mg at (0.000, 0.000, 0.500), Re at (0.000, 0.000, 0.000) and N at (0.500, 0.500, 0.500).

As for the density of states at the Fermi level: 1.365 states/eV/atom. The calculation puts the total magnetization at 0.770 μB/atom.


<b>
VASP calculation (PBE) on a relaxed structure of Mg3ReN.

The space group is Pm-3m (No. 221) and the conventional cell measures 4.256, 4.256 and 4.256 Å, with angles of 90.00, 90.00 and 90.00 degrees. The inequivalent atoms are Mg at (0.000, 0.000, 0.500), Re at (0.500, 0.500, 0.500) and N at (0.000, 0.000, 0.000).

As for the density of states at the Fermi level: 0.862 states/eV/atom. The calculation puts the total magnetization at 0.419 μB/atom.


Stability summary - winner: <b>; margin: 1589 meV per atom.


<a>
VASP calculation (PBE) on a relaxed structure of MgRe2N.

The space group is Fm-3m (No. 225) and the conventional cell measures 5.965, 5.965 and 5.965 Å, with angles of 90.00, 90.00 and 90.00 degrees. The inequivalent atoms are Mg at (0.000, 0.000, 0.000), Re at (0.250, 0.250, 0.250) and N at (0.000, 0.000, 0.500).

As for the density of states at the Fermi level: 1.272 states/eV/atom. The calculation puts the total magnetization at 0.000 μB/atom.


<b>
VASP calculation (PBE) on a relaxed structure of MgRe2N.

The space group is I-42d (No. 122) and the conventional cell measures 5.088, 5.088 and 11.396 Å, with angles of 90.00, 90.00 and 90.00 degrees. The inequivalent atoms are Mg at (0.000, 0.000, 0.000), Re at (0.070, 0.250, 0.625) and N at (0.000, 0.000, 0.500).

As for the density of states at the Fermi level: 0.998 states/eV/atom. The calculation puts the total magnetization at 0.000 μB/atom.


Stability summary - winner: <b>; margin: 825 meV per atom.


<a>
VASP calculation (PBE) on a relaxed structure of MgRe3N.

The space group is Pm-3m (No. 221) and the conventional cell measures 4.101, 4.101 and 4.101 Å, with angles of 90.00, 90.00 and 90.00 degrees. The inequivalent atoms are Mg at (0.000, 0.000, 0.000), Re at (0.000, 0.500, 0.500) and N at (0.500, 0.500, 0.500).

As for the density of states at the Fermi level: 0.945 states/eV/atom. The calculation puts the total magnetization at 0.000 μB/atom.


<b>
VASP calculation (PBE) on a relaxed structure of MgRe3N.

The space group is Pm-3m (No. 221) and the conventional cell measures 4.474, 4.474 and 4.474 Å, with angles of 90.00, 90.00 and 90.00 degrees. The inequivalent atoms are Mg at (0.000, 0.000, 0.000), Re at (0.000, 0.000, 0.500) and N at (0.500, 0.500, 0.500).

As for the density of states at the Fermi level: 1.603 states/eV/atom. The calculation puts the total magnetization at 0.000 μB/atom.


Stability summary - winner: <a>; margin: 3506 meV per atom.


<a>
VASP calculation (PBE) on a relaxed structure of MgReS2N.

The space group is P4/mmm (No. 123) and the conventional cell measures 4.755, 4.755 and 3.862 Å, with angles of 90.00, 90.00 and 90.00 degrees. The inequivalent atoms are Mg at (0.000, 0.000, 0.000), Re at (0.500, 0.500, 0.500), S at (0.000, 0.500, 0.000) and N at (0.000, 0.000, 0.500).

As for the density of states at the Fermi level: 0.457 states/eV/atom. The calculation puts the total magnetization at 0.376 μB/atom.


<b>
VASP calculation (PBE) on a relaxed structure of MgReS2N.

The space group is P4/mmm (No. 123) and the conventional cell measures 4.834, 4.834 and 3.740 Å, with angles of 90.00, 90.00 and 90.00 degrees. The inequivalent atoms are Mg at (0.000, 0.000, 0.000), Re at (0.500, 0.500, 0.500), S at (0.000, 0.500, 0.500) and N at (0.500, 0.500, 0.000).

As for the density of states at the Fermi level: 0.533 states/eV/atom. The calculation puts the total magnetization at 0.000 μB/atom.


Stability summary - winner: <b>; margin: 1424 meV per atom.


<a>
VASP calculation (PBE) on a relaxed structure of MgReTeN2.

The space group is P4/mmm (No. 123) and the conventional cell measures 3.916, 3.916 and 5.423 Å, with angles of 90.00, 90.00 and 90.00 degrees. The inequivalent atoms are Mg at (0.000, 0.000, 0.000), Re at (0.500, 0.500, 0.500), Te at (0.000, 0.000, 0.500) and N at (0.000, 0.500, 0.000).

As for the density of states at the Fermi level: 1.252 states/eV/atom. The calculation puts the total magnetization at 0.000 μB/atom.


<b>
VASP calculation (PBE) on a relaxed structure of MgReTeN2.

The space group is P4/mmm (No. 123) and the conventional cell measures 3.908, 3.908 and 5.854 Å, with angles of 90.00, 90.00 and 90.00 degrees. The inequivalent atoms are Mg at (0.000, 0.000, 0.000), Re at (0.500, 0.500, 0.500), Te at (0.500, 0.500, 0.000) and N at (0.000, 0.500, 0.500).

As for the density of states at the Fermi level: 0.644 states/eV/atom. The calculation puts the total magnetization at 0.000 μB/atom.


Stability summary - winner: <b>; margin: 1802 meV per atom.


<a>
VASP calculation (PBE) on a relaxed structure of MgRhN2.

The space group is I-42d (No. 122) and the conventional cell measures 4.766, 4.766 and 9.017 Å, with angles of 90.00, 90.00 and 90.00 degrees. The inequivalent atoms are Mg at (0.000, 0.000, 0.000), Rh at (0.000, 0.000, 0.500) and N at (0.227, 0.250, 0.625).

As for the density of states at the Fermi level: 0.435 states/eV/atom. The calculation puts the total magnetization at 0.000 μB/atom.


<b>
VASP calculation (PBE) on a relaxed structure of MgRhN2.

The space group is Pna2_1 (No. 33) and the conventional cell measures 5.857, 6.602 and 5.341 Å, with angles of 90.00, 90.00 and 90.00 degrees. The inequivalent atoms are Mg at (0.093, 0.126, 0.000), Rh at (0.080, 0.639, 0.011), N at (0.072, 0.610, 0.373) and N at (0.101, 0.130, 0.398).

As for the density of states at the Fermi level: 0.554 states/eV/atom. The calculation puts the total magnetization at 0.000 μB/atom.


<c>
VASP calculation (PBE) on a relaxed structure of MgRhN2.

The space group is R-3m (No. 166, hexagonal axes) and the conventional cell measures 3.1460, 3.1460 and 18.1298 Å, with angles of 90.00, 90.00 and 120.00 degrees. The inequivalent atoms are Mg at (0.0000, 0.0000, 0.0000), Rh at (0.0000, 0.0000, 0.5000) and N at (0.0000, 0.0000, 0.1106).

As for the density of states at the Fermi level: 1.058 states/eV/atom. The calculation puts the total magnetization at 0.000 μB/atom.


<d>
VASP calculation (PBE) on a relaxed structure of MgRhN2.

The space group is R-3m (No. 166, hexagonal axes) and the conventional cell measures 3.2177, 3.2177 and 17.6241 Å, with angles of 90.00, 90.00 and 120.00 degrees. The inequivalent atoms are Mg at (0.0000, 0.0000, 0.0000), Rh at (0.0000, 0.0000, 0.5000) and N at (0.0000, 0.0000, 0.3983).

As for the density of states at the Fermi level: 0.446 states/eV/atom. The calculation puts the total magnetization at 0.000 μB/atom.


Stability summary - winner: <b>; margin: 24 meV per atom.


<a>
VASP calculation (PBE) on a relaxed structure of MgRhSe2N.

The space group is P4/mmm (No. 123) and the conventional cell measures 5.011, 5.011 and 3.810 Å, with angles of 90.00, 90.00 and 90.00 degrees. The inequivalent atoms are Mg at (0.000, 0.000, 0.000), Rh at (0.500, 0.500, 0.500), Se at (0.000, 0.500, 0.000) and N at (0.000, 0.000, 0.500).

As for the density of states at the Fermi level: 1.004 states/eV/atom. The calculation puts the total magnetization at 0.415 μB/atom.


<b>
VASP calculation (PBE) on a relaxed structure of MgRhSe2N.

The space group is P4/mmm (No. 123) and the conventional cell measures 5.177, 5.177 and 3.639 Å, with angles of 90.00, 90.00 and 90.00 degrees. The inequivalent atoms are Mg at (0.000, 0.000, 0.000), Rh at (0.500, 0.500, 0.500), Se at (0.000, 0.500, 0.500) and N at (0.500, 0.500, 0.000).

As for the density of states at the Fermi level: 0.393 states/eV/atom. The calculation puts the total magnetization at 0.000 μB/atom.


Stability summary - winner: <b>; margin: 885 meV per atom.


<a>
VASP calculation (PBE) on a relaxed structure of MgRu3N.

The space group is Pm-3m (No. 221) and the conventional cell measures 4.488, 4.488 and 4.488 Å, with angles of 90.00, 90.00 and 90.00 degrees. The inequivalent atoms are Mg at (0.000, 0.000, 0.000), Ru at (0.000, 0.000, 0.500) and N at (0.500, 0.500, 0.500).

As for the density of states at the Fermi level: 0.976 states/eV/atom. The calculation puts the total magnetization at 0.425 μB/atom.


<b>
VASP calculation (PBE) on a relaxed structure of MgRu3N.

The space group is Pm-3m (No. 221) and the conventional cell measures 4.050, 4.050 and 4.050 Å, with angles of 90.00, 90.00 and 90.00 degrees. The inequivalent atoms are Mg at (0.000, 0.000, 0.000), Ru at (0.000, 0.500, 0.500) and N at (0.500, 0.500, 0.500).

As for the density of states at the Fermi level: 0.992 states/eV/atom. The calculation puts the total magnetization at 0.000 μB/atom.


Stability summary - winner: <b>; margin: 2976 meV per atom.